The following is a DFT calculation (PBE) of an optimized crystal structure of Th3CoTc.

Cell lengths 7.0442, 7.0442, 6.1624 Å; angles 90.00, 90.00, 120.00 degrees
Atoms (fractional coordinates):
Th 0.9960 0.3230 0.2500
Th 0.3270 0.0040 0.2500
Th 0.3270 0.3230 0.7500
Th 0.9960 0.6730 0.7500
Th 0.6770 0.6730 0.2500
Th 0.6770 0.0040 0.7500
Co 0.0000 0.0000 0.5000
Co 0.0000 0.0000 0.0000
Tc 0.3333 0.6667 0.0000
Tc 0.3333 0.6667 0.5000

## Properties
calculated volume = 265 Å³ per cell
energy relative to the elements = -0.169 eV per atom
magnetization = 0.00 μB per formula unit

---

The following is a DFT calculation (PBE) of an optimized crystal structure of Li2ZrF6.

Cell lengths 4.5676, 4.5676, 8.7889 Å; angles 90.00, 90.00, 90.00 degrees
Atoms (fractional coordinates):
F 0.8097 0.1903 0.5000
F 0.1903 0.8097 0.5000
F 0.7930 0.2070 0.8283
F 0.6903 0.6903 0.0000
F 0.2070 0.7930 0.1717
F 0.7070 0.7070 0.6717
F 0.2930 0.2930 0.3283
F 0.2070 0.7930 0.8283
F 0.7930 0.2070 0.1717
F 0.2930 0.2930 0.6717
F 0.3097 0.3097 0.0000
F 0.7070 0.7070 0.3283
Li 0.5000 0.5000 0.1642
Li 0.0000 0.0000 0.6642
Li 0.5000 0.5000 0.8358
Li 0.0000 0.0000 0.3358
Zr 0.5000 0.5000 0.5000
Zr 0.0000 0.0000 0.0000

## Properties
total energy = -5.921 eV per atom
calculated volume = 183 Å³ per cell
magnetization = 0.00 μB per formula unit

---

The following is a DFT calculation (PBE) of an optimized crystal structure of InAg3PtSe4.

Cell lengths 6.1622, 6.1622, 6.1622 Å; angles 90.00, 90.00, 90.00 degrees
Atoms (fractional coordinates):
Se 0.7446 0.2554 0.7446
Se 0.2554 0.2554 0.2554
Se 0.2554 0.7446 0.7446
Se 0.7446 0.7446 0.2554
Ag 0.0000 0.5000 0.5000
Ag 0.5000 0.5000 0.0000
Ag 0.5000 0.0000 0.5000
Pt 0.5000 0.5000 0.5000
In 0.0000 0.0000 0.0000

## Properties
total energy = -3.508 eV per atom
calculated volume = 234 Å³ per cell
magnetization = 0.01 μB per formula unit

---

Question: The highest magnetization belongs to which entry?
Answer: InAg3PtSe4

---

Question: The highest calculated volume belongs to which entry?
Answer: Th3CoTc